(1)
The following is a DFT calculation (PBE-GGA) of a relaxed structure of TaBe2Fe.

Its energy of formation from the pure elements is -0.0206 eV per atom.

The space group is C2/m (No. 12) and the conventional cell measures 6.845, 3.271 and 4.434 Å, with angles of 90.00, 113.34 and 90.00 degrees. Symmetry generates all atoms from Ta at (0.000, 0.000, 0.000), Be at (0.224, 0.000, 0.637) and Fe at (0.000, 0.500, 0.500).


(2)
The following is a DFT calculation (PBE-GGA) of a relaxed structure of Cd5In12S3.

The calculation puts the uncorrected formation energy at 0.093 eV per atom.

The space group is Ia-3d (No. 230) and the conventional cell measures 17.344, 17.344 and 17.344 Å, with angles of 90.00, 90.00 and 90.00 degrees. Symmetry generates all atoms from Cd at (0.000, 0.000, 0.000), Cd at (0.000, 0.250, 0.375), In at (0.005, 0.059, 0.163) and S at (0.000, 0.250, 0.125).


(3)
The following is a DFT calculation (PBE-GGA) of a relaxed structure of NdInGa2Ni5.

Its energy of formation from the pure elements is -0.0705 eV per atom.

The space group is P4/mmm (No. 123) and the conventional cell measures 4.415, 4.415 and 7.400 Å, with angles of 90.00, 90.00 and 90.00 degrees. Symmetry generates all atoms from Nd at (0.000, 0.000, 0.000), In at (0.000, 0.000, 0.500), Ga at (0.500, 0.500, 0.332), Ni at (0.000, 0.500, 0.240) and Ni at (0.500, 0.500, 0.000).


(4)
The following is a DFT calculation (PBE-GGA) of a relaxed structure of CaHgPb2.

Its energy of formation from the pure elements is -0.2923 eV per atom.

The space group is I4/mmm (No. 139) and the conventional cell measures 4.673, 4.673 and 10.650 Å, with angles of 90.00, 90.00 and 90.00 degrees. Symmetry generates all atoms from Ca at (0.000, 0.000, 0.000), Hg at (0.000, 0.000, 0.500) and Pb at (0.000, 0.500, 0.250).


(5)
The following is a DFT calculation (PBE-GGA) of a relaxed structure of TmThCuSn.

Its energy of formation from the pure elements is -0.2855 eV per atom.

The space group is F-43m (No. 216) and the conventional cell measures 7.355, 7.355 and 7.355 Å, with angles of 90.00, 90.00 and 90.00 degrees. Symmetry generates all atoms from Tm at (0.000, 0.000, 0.000), Th at (0.000, 0.000, 0.500), Cu at (0.250, 0.250, 0.750) and Sn at (0.250, 0.250, 0.250).


(6)
The following is a DFT calculation (PBE-GGA) of a relaxed structure of PuPaZnCo.

Its energy of formation from the pure elements is -0.0954 eV per atom.

The space group is F-43m (No. 216) and the conventional cell measures 6.588, 6.588 and 6.588 Å, with angles of 90.00, 90.00 and 90.00 degrees. Symmetry generates all atoms from Pu at (0.000, 0.000, 0.000), Pa at (0.250, 0.250, 0.250), Zn at (0.250, 0.250, 0.750) and Co at (0.000, 0.000, 0.500).


Computed values of Fermi-level density of states (unit: states/eV/cell) for the preceding records, in sequence: 4.6 67.5 6.2 5.8 14.9 20.5.